Below is BeBiIrN2 after structural relaxation, with properties calculated at the PBE level.

Properties
- E_tot: -5.235 eV/atom
- DOS(E_F): 4.68 states/eV per cell
- Energy relative to the elements, uncorrected: 1.39 eV/atom

CIF file:
```
data_BeBiIrN2
_chemical_formula_sum 'Be1 Bi1 Ir1 N2'
_space_group_name_H-M_alt 'P 4/m m m'
_space_group_IT_number 123
_space_group_name_Hall '-P 4 2'
_cell_length_a 3.8084
_cell_length_b 3.8084
_cell_length_c 4.6492
_cell_angle_alpha 90.00
_cell_angle_beta 90.00
_cell_angle_gamma 90.00
loop_
_atom_site_label
_atom_site_type_symbol
_atom_site_fract_x
_atom_site_fract_y
_atom_site_fract_z
Be1 Be 0.0000 0.0000 0.0000
Bi1 Bi 0.5000 0.5000 0.5000
Ir1 Ir 0.0000 0.0000 0.5000
N1 N 0.0000 0.5000 0.0000
```